Record 1
This record from Alexandria via LeMat-Bulk describes MnIn2FeCl after structural relaxation. The functional is PBE.

a b c (Å): 5.5784 5.5784 4.1402
angles (deg): 90.00 90.00 90.00
Fractional coordinates of all 5 atoms:
1 Mn 0.0000 0.0000 0.0000
2 In 0.0000 0.5000 0.5000
3 In 0.5000 0.0000 0.5000
4 Fe 0.5000 0.5000 0.0000
5 Cl 0.5000 0.5000 0.5000

Properties
SG = P4/mmm (123)
Uncorrected formation energy = 0.774 eV per atom

Record 2
This record from Alexandria via LeMat-Bulk describes Mn2InFeCl after structural relaxation. The functional is PBE.

a b c (Å): 4.5192 4.5192 5.1129
angles (deg): 90.00 90.00 90.00
Fractional coordinates of all 5 atoms:
1 Mn 0.0000 0.5000 0.0000
2 Mn 0.5000 0.0000 0.0000
3 In 0.0000 0.0000 0.5000
4 Fe 0.0000 0.0000 0.0000
5 Cl 0.5000 0.5000 0.5000

Properties
SG = P4/mmm (123)
Uncorrected formation energy = 0.604 eV per atom

Record 3
This record from Alexandria via LeMat-Bulk describes NaInFe2Cl after structural relaxation. The functional is PBE.

a b c (Å): 4.9519 4.9519 5.7985
angles (deg): 90.00 90.00 90.00
Fractional coordinates of all 5 atoms:
1 Na 0.0000 0.0000 0.0000
2 In 0.0000 0.0000 0.5000
3 Fe 0.0000 0.5000 0.0000
4 Fe 0.5000 0.0000 0.0000
5 Cl 0.5000 0.5000 0.5000

Properties
SG = P4/mmm (123)
Uncorrected formation energy = 1.345 eV per atom

Record 4
This record from Alexandria via LeMat-Bulk describes NaInFe2Cl6 after structural relaxation. The functional is PBE.

a b c (Å): 9.2767 9.2767 6.8032
angles (deg): 95.80 95.80 88.95
Fractional coordinates of all 20 atoms:
1 Na 0.2076 0.7924 0.7500
2 Na 0.7924 0.2076 0.2500
3 In 0.4017 0.5983 0.2500
4 In 0.5983 0.4017 0.7500
5 Fe 0.1133 0.2841 0.7864
6 Fe 0.2841 0.1133 0.2864
7 Fe 0.7159 0.8867 0.7136
8 Fe 0.8867 0.7159 0.2136
9 Cl 0.0866 0.2151 0.1039
10 Cl 0.1010 0.6664 0.3824
11 Cl 0.2151 0.0866 0.6039
12 Cl 0.2598 0.4814 0.8269
13 Cl 0.3336 0.8990 0.1176
14 Cl 0.4814 0.2598 0.3269
15 Cl 0.5186 0.7402 0.6731
16 Cl 0.6664 0.1010 0.8824
17 Cl 0.7402 0.5186 0.1731
18 Cl 0.7849 0.9134 0.3961
19 Cl 0.8990 0.3336 0.6176
20 Cl 0.9134 0.7849 0.8961

Properties
SG = C2/c (15)
Uncorrected formation energy = -0.922 eV per atom

Record 5
This record from Alexandria via LeMat-Bulk describes NaInFeCl4 after structural relaxation. The functional is PBE.

a b c (Å): 6.9011 7.1428 8.4987
angles (deg): 90.00 106.76 90.00
Fractional coordinates of all 14 atoms:
1 Na 0.2151 0.2500 0.0558
2 Na 0.7849 0.7500 0.9442
3 In 0.2533 0.2500 0.5729
4 In 0.7467 0.7500 0.4271
5 Fe 0.2436 0.7500 0.8246
6 Fe 0.7564 0.2500 0.1754
7 Cl 0.0199 0.5027 0.7812
8 Cl 0.0199 0.9973 0.7812
9 Cl 0.4420 0.7500 0.6509
10 Cl 0.4572 0.7500 0.0861
11 Cl 0.5428 0.2500 0.9139
12 Cl 0.5580 0.2500 0.3491
13 Cl 0.9801 0.0027 0.2188
14 Cl 0.9801 0.4973 0.2188

Properties
SG = P2_1/m (11)
Uncorrected formation energy = -1.026 eV per atom

Record 6
This record from Alexandria via LeMat-Bulk describes InFeP2Cl after structural relaxation. The functional is PBE.

a b c (Å): 4.2731 4.2731 5.0476
angles (deg): 90.00 90.00 90.00
Fractional coordinates of all 5 atoms:
1 In 0.0000 0.0000 0.0000
2 Fe 0.5000 0.5000 0.5000
3 P 0.0000 0.5000 0.5000
4 P 0.5000 0.0000 0.5000
5 Cl 0.5000 0.5000 0.0000

Properties
SG = P4/mmm (123)
Uncorrected formation energy = 0.179 eV per atom
Energy relative to the lowest polymorph listed for this composition = 0 meV/atom

Record 7
This record from Alexandria via LeMat-Bulk describes InFeP2Cl after structural relaxation. The functional is PBE.

a b c (Å): 5.0665 5.0665 5.1073
angles (deg): 90.00 90.00 90.00
Fractional coordinates of all 5 atoms:
1 In 0.0000 0.0000 0.0000
2 Fe 0.5000 0.5000 0.5000
3 P 0.0000 0.5000 0.0000
4 P 0.5000 0.0000 0.0000
5 Cl 0.0000 0.0000 0.5000

Properties
SG = P4/mmm (123)
Uncorrected formation energy = 1.460 eV per atom
Energy relative to the lowest polymorph listed for this composition = 1282 meV/atom

Record 8
This record from Alexandria via LeMat-Bulk describes RbInFe2Cl8 after structural relaxation. The functional is PBE.

a b c (Å): 10.3713 10.3713 10.3713
angles (deg): 36.43 36.43 36.43
Fractional coordinates of all 12 atoms:
1 Rb 0.0000 0.0000 0.0000
2 In 0.5000 0.5000 0.5000
3 Fe 0.2456 0.2456 0.2456
4 Fe 0.7544 0.7544 0.7544
5 Cl 0.1139 0.4474 0.7771
6 Cl 0.2229 0.8861 0.5526
7 Cl 0.3219 0.3219 0.3219
8 Cl 0.4474 0.7771 0.1139
9 Cl 0.5526 0.2229 0.8861
10 Cl 0.6781 0.6781 0.6781
11 Cl 0.7771 0.1139 0.4474
12 Cl 0.8861 0.5526 0.2229

Properties
SG = R-3 (148)
Uncorrected formation energy = -1.030 eV per atom

Record 9
This record from Alexandria via LeMat-Bulk describes InFeS2Cl after structural relaxation. The functional is PBE.

a b c (Å): 5.0187 5.0187 5.0107
angles (deg): 90.00 90.00 90.00
Fractional coordinates of all 5 atoms:
1 In 0.0000 0.0000 0.0000
2 Fe 0.5000 0.5000 0.5000
3 S 0.0000 0.5000 0.0000
4 S 0.5000 0.0000 0.0000
5 Cl 0.0000 0.0000 0.5000

Properties
SG = P4/mmm (123)
Uncorrected formation energy = 0.502 eV per atom
Energy relative to the lowest polymorph listed for this composition = 675 meV/atom

Record 10
This record from Alexandria via LeMat-Bulk describes InFeSCl2 after structural relaxation. The functional is PBE.

a b c (Å): 4.8990 4.8990 4.5444
angles (deg): 90.00 90.00 90.00
Fractional coordinates of all 5 atoms:
1 In 0.0000 0.0000 0.0000
2 Fe 0.5000 0.5000 0.5000
3 S 0.5000 0.5000 0.0000
4 Cl 0.0000 0.5000 0.5000
5 Cl 0.5000 0.0000 0.5000

Properties
SG = P4/mmm (123)
Uncorrected formation energy = -0.236 eV per atom
Energy relative to the lowest polymorph listed for this composition = 0 meV/atom

Record 11
This record from Alexandria via LeMat-Bulk describes InFeSCl2 after structural relaxation. The functional is PBE.

a b c (Å): 5.0352 5.0352 5.0204
angles (deg): 90.00 90.00 90.00
Fractional coordinates of all 5 atoms:
1 In 0.0000 0.0000 0.0000
2 Fe 0.5000 0.5000 0.5000
3 S 0.0000 0.0000 0.5000
4 Cl 0.0000 0.5000 0.0000
5 Cl 0.5000 0.0000 0.0000

Properties
SG = P4/mmm (123)
Uncorrected formation energy = 0.221 eV per atom
Energy relative to the lowest polymorph listed for this composition = 457 meV/atom

Record 12
This record from Alexandria via LeMat-Bulk describes InFeS2Cl after structural relaxation. The functional is PBE.

a b c (Å): 4.5136 4.5136 5.3462
angles (deg): 90.00 90.00 90.00
Fractional coordinates of all 5 atoms:
1 In 0.0000 0.0000 0.0000
2 Fe 0.5000 0.5000 0.5000
3 S 0.0000 0.5000 0.5000
4 S 0.5000 0.0000 0.5000
5 Cl 0.5000 0.5000 0.0000

Properties
SG = P4/mmm (123)
Uncorrected formation energy = -0.172 eV per atom
Energy relative to the lowest polymorph listed for this composition = 0 meV/atom

Number 1: N(E_F) 0.656 states/eV/atom. Number 2: N(E_F) 0.729 states/eV/atom. Number 3: N(E_F) 1.137 states/eV/atom. Number 4: N(E_F) 1.085 states/eV/atom. Number 5: N(E_F) 0.958 states/eV/atom. Number 6: N(E_F) 0.825 states/eV/atom. Number 7: N(E_F) 1.423 states/eV/atom. Number 8: N(E_F) 0.689 states/eV/atom. Number 9: N(E_F) 1.386 states/eV/atom. Number 10: N(E_F) 1.322 states/eV/atom. Number 11: N(E_F) 1.587 states/eV/atom. Number 12: N(E_F) 0.464 states/eV/atom.